<1>
Computed, not measured: Ta3Nb2Re after structural relaxation at the PBE level of DFT.

Calculated values
Its space-group type is No. 65. For the density of states at the Fermi level, the calculation gives 13.17 states/eV/cell.

Cell: 4.606 7.294 6.594 Å, 90.00 89.99 71.60°
Element x y z (fractional)
Ta  0.831  0.338  0.758
Ta  0.500  0.000  0.243
Ta  0.169  0.662  0.242
Ta  0.831  0.338  0.242
Ta  0.169  0.662  0.758
Ta  0.500  0.000  0.757
Nb  0.000  0.000  0.000
Nb  0.000  0.000  0.500
Nb  0.333  0.333  0.500
Nb  0.667  0.667  0.500
Re  0.333  0.334  0.000
Re  0.667  0.666  0.000

=====

<2>
Computed, not measured: Ta3Nb2Re after structural relaxation at the PBE level of DFT.

Calculated values
Its space-group type is No. 65. For the density of states at the Fermi level, the calculation gives 12.49 states/eV/cell.

Cell: 4.694 5.441 10.274 Å, 78.64 62.83 64.45°
Element x y z (fractional)
Ta  0.411  0.662  0.757
Ta  0.261  0.000  0.239
Ta  0.589  0.338  0.243
Ta  0.927  0.662  0.243
Ta  0.073  0.338  0.757
Ta  0.739  0.000  0.761
Nb  0.000  0.000  0.000
Nb  0.500  0.000  0.500
Nb  0.166  0.667  0.500
Nb  0.834  0.333  0.500
Re  0.669  0.662  0.000
Re  0.331  0.338  0.000

=====

Of them, <2> has the lowest stability.

=====

<1>
Computed, not measured: Ta2Nb4Re after structural relaxation at the PBE level of DFT.

Calculated values
Its space-group type is No. 65. For the density of states at the Fermi level, the calculation gives 8.46 states/eV/cell.

Cell: 5.018 2.683 10.555 Å, 97.30 90.00 90.00°
Element x y z (fractional)
Ta  0.500  0.186  0.372
Ta  0.500  0.814  0.628
Nb  0.500  0.566  0.132
Nb  0.000  0.873  0.746
Nb  0.500  0.434  0.868
Nb  0.000  0.127  0.254
Re  0.000  0.500  0.000

=====

<2>
Computed, not measured: Ta2Nb4Re after structural relaxation at the PBE level of DFT.

Calculated values
Its space-group type is No. 2. For the density of states at the Fermi level, the calculation gives 8.23 states/eV/cell.

Cell: 2.865 7.094 7.313 Å, 59.73 74.12 81.64°
Element x y z (fractional)
Ta  0.566  0.861  0.718
Ta  0.434  0.139  0.282
Nb  0.859  0.283  0.577
Nb  0.141  0.717  0.423
Nb  0.273  0.424  0.861
Nb  0.727  0.576  0.139
Re  0.000  0.000  0.000

=====

Of them, <1> has the lowest stability.

=====

<1>
Computed, not measured: TaNb2Re2 after structural relaxation at the PBE level of DFT.

Calculated values
Its space-group type is No. 127. For the density of states at the Fermi level, the calculation gives 13.83 states/eV/cell.

Cell: 7.414 7.414 3.210 Å, 90.00 90.00 90.00°
Element x y z (fractional)
Re  0.360  0.860  0.000
Re  0.860  0.640  0.000
Re  0.640  0.140  0.000
Re  0.140  0.360  0.000
Nb  0.163  0.663  0.500
Nb  0.663  0.837  0.500
Nb  0.837  0.337  0.500
Nb  0.337  0.163  0.500
Ta  0.000  0.000  0.000
Ta  0.500  0.500  0.000

=====

<2>
Computed, not measured: TaNb2Re2 after structural relaxation at the PBE level of DFT.

Calculated values
Its space-group type is No. 65. For the density of states at the Fermi level, the calculation gives 3.63 states/eV/cell.

Cell: 3.140 3.139 9.045 Å, 80.01 90.00 90.00°
Element x y z (fractional)
Ta  0.000  0.000  0.000
Nb  0.000  0.182  0.635
Nb  0.000  0.818  0.365
Re  0.500  0.409  0.182
Re  0.500  0.591  0.818

=====

Of them, <1> has the lowest stability.

=====

<1>
Computed, not measured: Ta4Nb3Re after structural relaxation at the PBE level of DFT.

Calculated values
Its space-group type is No. 31. For the density of states at the Fermi level, the calculation gives 15.16 states/eV/cell.

Cell: 5.478 5.564 9.456 Å, 90.00 90.00 90.00°
Element x y z (fractional)
Ta  0.252  0.000  0.000
Ta  0.380  0.492  0.000
Ta  0.065  0.287  0.246
Ta  0.565  0.713  0.254
Ta  0.880  0.508  0.500
Ta  0.752  0.000  0.500
Ta  0.565  0.713  0.746
Ta  0.065  0.287  0.754
Nb  0.752  0.990  0.000
Nb  0.061  0.782  0.250
Nb  0.561  0.218  0.250
Nb  0.252  0.010  0.500
Nb  0.561  0.218  0.750
Nb  0.061  0.782  0.750
Re  0.878  0.500  0.000
Re  0.378  0.500  0.500

=====

<2>
Computed, not measured: Ta4Nb3Re after structural relaxation at the PBE level of DFT.

Calculated values
Its space-group type is No. 123. For the density of states at the Fermi level, the calculation gives 7.40 states/eV/cell.

Cell: 3.263 3.263 13.313 Å, 90.00 90.00 90.00°
Element x y z (fractional)
Re  0.500  0.500  0.000
Nb  0.500  0.500  0.247
Nb  0.500  0.500  0.500
Nb  0.500  0.500  0.753
Ta  0.000  0.000  0.882
Ta  0.000  0.000  0.118
Ta  0.000  0.000  0.372
Ta  0.000  0.000  0.628

=====

Of them, <1> has the lowest stability.

=====

<1>
Computed, not measured: Ta4Nb2Re after structural relaxation at the PBE level of DFT.

Calculated values
Its space-group type is No. 10. For the density of states at the Fermi level, the calculation gives 6.12 states/eV/cell.

Cell: 2.683 10.173 4.735 Å, 76.72 90.00 90.00°
Element x y z (fractional)
Ta  0.500  0.933  0.642
Ta  0.000  0.491  0.362
Ta  0.500  0.210  0.501
Ta  0.000  0.652  0.781
Nb  0.500  0.360  0.927
Nb  0.500  0.783  0.216
Re  0.000  0.071  0.071

=====

<2>
Computed, not measured: Ta4Nb2Re after structural relaxation at the PBE level of DFT.

Calculated values
Its space-group type is No. 2. For the density of states at the Fermi level, the calculation gives 9.02 states/eV/cell.

Cell: 2.796 7.279 7.300 Å, 61.21 81.48 96.25°
Element x y z (fractional)
Ta  0.014  0.281  0.578
Ta  0.986  0.719  0.422
Ta  0.398  0.423  0.857
Ta  0.602  0.577  0.143
Nb  0.258  0.856  0.717
Nb  0.742  0.144  0.283
Re  0.000  0.000  0.000

=====

Of them, <1> has the lowest stability.

=====

<1>
Computed, not measured: Ta3Nb3Re2 after structural relaxation at the PBE level of DFT.

Calculated values
Its space-group type is No. 47. For the density of states at the Fermi level, the calculation gives 6.75 states/eV/cell.

Cell: 4.620 4.561 6.504 Å, 90.00 90.00 90.00°
Element x y z (fractional)
Ta  0.500  0.000  0.500
Ta  0.000  0.500  0.000
Ta  0.000  0.500  0.500
Nb  0.500  0.500  0.751
Nb  0.500  0.500  0.249
Nb  0.500  0.000  0.000
Re  0.000  0.000  0.749
Re  0.000  0.000  0.251

=====

<2>
Computed, not measured: Ta3Nb3Re2 after structural relaxation at the PBE level of DFT.

Calculated values
Its space-group type is No. 12. For the density of states at the Fermi level, the calculation gives 4.84 states/eV/cell.

Cell: 4.576 4.576 7.340 Å, 108.11 108.16 90.00°
Element x y z (fractional)
Ta  0.130  0.630  0.260
Ta  0.870  0.370  0.740
Ta  0.000  0.000  0.000
Nb  0.629  0.129  0.258
Nb  0.500  0.500  0.000
Nb  0.371  0.871  0.742
Re  0.249  0.249  0.499
Re  0.751  0.751  0.501

=====

Of them, <2> has the lowest stability.

=====

<1>
Computed, not measured: Ta6Nb3Re after structural relaxation at the PBE level of DFT.

Calculated values
Its space-group type is No. 11. For the density of states at the Fermi level, the calculation gives 20.05 states/eV/cell.

Cell: 2.705 11.136 13.988 Å, 119.92 90.00 90.00°
Element x y z (fractional)
Ta  0.750  0.617  0.703
Ta  0.250  0.383  0.297
Ta  0.750  0.871  0.104
Ta  0.250  0.129  0.896
Ta  0.750  0.372  0.100
Ta  0.250  0.628  0.900
Ta  0.750  0.641  0.305
Ta  0.250  0.359  0.695
Ta  0.750  0.119  0.492
Ta  0.250  0.881  0.508
Ta  0.750  0.879  0.704
Ta  0.250  0.121  0.296
Nb  0.750  0.375  0.897
Nb  0.250  0.625  0.103
Nb  0.750  0.624  0.498
Nb  0.250  0.376  0.502
Nb  0.750  0.123  0.100
Nb  0.250  0.877  0.900
Re  0.750  0.120  0.697
Re  0.250  0.880  0.303

=====

<2>
Computed, not measured: Ta6Nb3Re after structural relaxation at the PBE level of DFT.

Calculated values
Its space-group type is No. 11. For the density of states at the Fermi level, the calculation gives 24.00 states/eV/cell.

Cell: 4.644 8.087 9.853 Å, 105.33 90.00 90.00°
Element x y z (fractional)
Ta  0.250  0.449  0.100
Ta  0.750  0.551  0.900
Ta  0.250  0.150  0.199
Ta  0.750  0.850  0.801
Ta  0.250  0.656  0.695
Ta  0.750  0.344  0.305
Ta  0.250  0.241  0.500
Ta  0.750  0.759  0.500
Ta  0.250  0.856  0.308
Ta  0.750  0.144  0.692
Ta  0.250  0.049  0.892
Ta  0.750  0.951  0.108
Nb  0.250  0.546  0.398
Nb  0.750  0.454  0.602
Nb  0.250  0.352  0.801
Nb  0.750  0.648  0.199
Nb  0.250  0.754  0.001
Nb  0.750  0.246  0.999
Re  0.250  0.950  0.599
Re  0.750  0.050  0.401

=====

Of them, <1> has the lowest stability.

=====

<1>
Computed, not measured: Ta5Nb4Re after structural relaxation at the PBE level of DFT.

Calculated values
Its space-group type is No. 79. For the density of states at the Fermi level, the calculation gives 11.48 states/eV/cell.

Cell: 5.090 6.679 6.679 Å, 81.65 67.60 67.60°
Element x y z (fractional)
Ta  0.794  0.381  0.969
Ta  0.175  0.969  0.619
Ta  0.764  0.031  0.381
Ta  0.145  0.619  0.031
Ta  0.645  0.000  0.000
Nb  0.447  0.340  0.684
Nb  0.786  0.684  0.660
Nb  0.130  0.316  0.340
Nb  0.470  0.660  0.316
Re  0.155  0.000  0.000

=====

<2>
Computed, not measured: Ta5Nb4Re after structural relaxation at the PBE level of DFT.

Calculated values
Its space-group type is No. 123. For the density of states at the Fermi level, the calculation gives 10.90 states/eV/cell.

Cell: 3.270 3.270 16.654 Å, 90.00 90.00 90.00°
Element x y z (fractional)
Ta  0.500  0.500  0.094
Ta  0.500  0.500  0.297
Ta  0.500  0.500  0.500
Ta  0.500  0.500  0.703
Ta  0.500  0.500  0.906
Nb  0.000  0.000  0.197
Nb  0.000  0.000  0.399
Nb  0.000  0.000  0.601
Nb  0.000  0.000  0.803
Re  0.000  0.000  0.000

=====

Of them, <1> has the lowest stability.

=====

<1>
Computed, not measured: Nb4ReTc2 after structural relaxation at the PBE level of DFT.

Calculated values
Its space-group type is No. 139. For the density of states at the Fermi level, the calculation gives 10.41 states/eV/cell.

Cell: 4.801 4.801 7.248 Å, 70.66 70.66 90.00°
Element x y z (fractional)
Re  0.000  0.000  0.000
Nb  0.801  0.801  0.398
Nb  0.199  0.199  0.602
Nb  0.000  0.500  0.000
Nb  0.500  0.000  0.000
Tc  0.616  0.616  0.767
Tc  0.384  0.384  0.233

=====

<2>
Computed, not measured: Nb4ReTc2 after structural relaxation at the PBE level of DFT.

Calculated values
Its space-group type is No. 139. For the density of states at the Fermi level, the calculation gives 3.52 states/eV/cell.

Cell: 5.476 5.476 5.476 Å, 109.42 109.50 109.50°
Element x y z (fractional)
Nb  0.500  0.000  0.000
Nb  0.500  0.500  0.500
Nb  0.000  0.000  0.500
Nb  0.000  0.500  0.000
Re  0.000  0.000  0.000
Tc  0.500  0.500  0.000
Tc  0.500  0.000  0.500

=====

Of them, <1> has the lowest stability.

=====

<1>
Computed, not measured: TiNb4Re after structural relaxation at the PBE level of DFT.

Calculated values
Its space-group type is No. 166. For the density of states at the Fermi level, the calculation gives 6.43 states/eV/cell.

Cell: 4.419 4.420 7.569 Å, 73.07 73.03 60.01°
Element x y z (fractional)
Ti  0.500  0.500  0.500
Nb  0.625  0.625  0.124
Nb  0.375  0.375  0.876
Nb  0.126  0.125  0.623
Nb  0.874  0.875  0.377
Re  0.000  0.000  0.000

=====

<2>
Computed, not measured: TiNb4Re after structural relaxation at the PBE level of DFT.

Calculated values
Its space-group type is No. 123. For the density of states at the Fermi level, the calculation gives 7.93 states/eV/cell.

Cell: 3.231 3.231 9.967 Å, 90.00 90.00 90.00°
Element x y z (fractional)
Ti  0.500  0.500  0.500
Nb  0.500  0.500  0.840
Nb  0.500  0.500  0.160
Nb  0.000  0.000  0.332
Nb  0.000  0.000  0.668
Re  0.000  0.000  0.000

=====

Of them, <1> has the lowest stability.

=====

<1>
Computed, not measured: Ti2Nb2Re after structural relaxation at the PBE level of DFT.

Calculated values
Its space-group type is No. 141. For the density of states at the Fermi level, the calculation gives 10.56 states/eV/cell.

Cell: 4.348 4.348 10.368 Å, 102.10 102.10 90.00°
Element x y z (fractional)
Ti  0.825  0.825  0.651
Ti  0.575  0.075  0.151
Ti  0.925  0.425  0.849
Ti  0.175  0.175  0.349
Nb  0.421  0.921  0.842
Nb  0.671  0.671  0.342
Nb  0.329  0.329  0.658
Nb  0.079  0.579  0.158
Re  0.500  0.500  0.000
Re  0.250  0.750  0.500

=====

<2>
Computed, not measured: Ti2Nb2Re after structural relaxation at the PBE level of DFT.

Calculated values
Its space-group type is No. 139. For the density of states at the Fermi level, the calculation gives 6.28 states/eV/cell.

Cell: 3.742 3.742 6.891 Å, 74.25 74.25 90.00°
Element x y z (fractional)
Re  0.000  0.000  0.000
Nb  0.750  0.250  0.500
Nb  0.250  0.750  0.500
Ti  0.415  0.415  0.169
Ti  0.585  0.585  0.831

=====

Of them, <2> has the lowest stability.